# Ho2V2O7 | Alexandria | PBE+U | optimized geometry
# ΔE to the lowest computed polymorph: 0.328 eV/atom
# Total magnetization: 2.00 μB per formula unit
# Calculated total energy: -85.87 eV/f.u.
data_Ho2V2O7
_cell_length_a 5.016
_cell_length_b 5.016
_cell_length_c 5.113
_cell_angle_alpha 90.00
_cell_angle_beta 90.00
_cell_angle_gamma 94.41
_symmetry_space_group_name_H-M 'P 1'
_symmetry_Int_Tables_number 1
loop_
_symmetry_equiv_pos_as_xyz
'x,y,z'
loop_
_atom_site_label
_atom_site_type_symbol
_atom_site_fract_x
_atom_site_fract_y
_atom_site_fract_z
Ho1 Ho 0.243 0.243 0.000
Ho2 Ho 0.757 0.757 0.000
V1 V 0.229 0.771 0.500
V2 V 0.771 0.229 0.500
O1 O 0.000 0.000 0.274
O2 O 0.000 0.000 0.726
O3 O 0.000 0.500 0.262
O4 O 0.000 0.500 0.738
O5 O 0.500 0.000 0.262
O6 O 0.500 0.000 0.738
O7 O 0.500 0.500 0.500